DFT (GGA-PBE) results for crystalline MgGaSb3 at its relaxed geometry.

```
data_MgGaSb3
_chemical_formula_sum 'Mg1 Ga1 Sb3'
_cell_length_a 5.3339
_cell_length_b 5.3339
_cell_length_c 5.3339
_cell_angle_alpha 90.00
_cell_angle_beta 90.00
_cell_angle_gamma 90.00
_symmetry_space_group_name_H-M 'P 1'
_symmetry_Int_Tables_number 1
_symmetry_space_group_name_Hall 'P 1'
loop_
_atom_site_label
_atom_site_type_symbol
_atom_site_fract_x
_atom_site_fract_y
_atom_site_fract_z
_atom_site_occupancy
Mg1 Mg 0.0000 0.0000 0.0000 1
Ga1 Ga 0.5000 0.5000 0.5000 1
Sb1 Sb 0.0000 0.5000 0.5000 1
Sb2 Sb 0.5000 0.0000 0.5000 1
Sb3 Sb 0.5000 0.5000 0.0000 1
```

Results
M_tot (μB per cell): 0.0
Energy (eV/atom): -2.893
Theoretical density (Mg/m³): 5.03
Space group: No. 221
Uncorrected formation energy (eV/f.u.): 2.526

DFT (GGA-PBE) results for crystalline KUTe3 at its relaxed geometry.

```
data_KUTe3
_chemical_formula_sum 'K4 U4 Te12'
_cell_length_a 10.7256
_cell_length_b 10.7256
_cell_length_c 7.8125
_cell_angle_alpha 97.45
_cell_angle_beta 97.45
_cell_angle_gamma 76.45
_symmetry_space_group_name_H-M 'P 1'
_symmetry_Int_Tables_number 1
_symmetry_space_group_name_Hall 'P 1'
loop_
_atom_site_label
_atom_site_type_symbol
_atom_site_fract_x
_atom_site_fract_y
_atom_site_fract_z
_atom_site_occupancy
K1 K 0.1127 0.8873 0.7500 1
K2 K 0.2864 0.7136 0.2500 1
K3 K 0.7136 0.2864 0.7500 1
K4 K 0.8873 0.1127 0.2500 1
U1 U 0.1590 0.3232 0.0033 1
U2 U 0.3232 0.1590 0.5033 1
U3 U 0.6768 0.8410 0.4967 1
U4 U 0.8410 0.6768 0.9967 1
Te1 Te 0.0660 0.2106 0.6501 1
Te2 Te 0.1073 0.5871 0.8866 1
Te3 Te 0.2106 0.0660 0.1501 1
Te4 Te 0.2688 0.4088 0.3573 1
Te5 Te 0.4088 0.2688 0.8573 1
Te6 Te 0.4129 0.8927 0.6134 1
Te7 Te 0.5871 0.1073 0.3866 1
Te8 Te 0.5912 0.7312 0.1427 1
Te9 Te 0.7312 0.5912 0.6427 1
Te10 Te 0.7894 0.9340 0.8499 1
Te11 Te 0.8927 0.4129 0.1134 1
Te12 Te 0.9340 0.7894 0.3499 1
```

Results
M_tot (μB per cell): 4.0
Energy (eV/atom): -5.077
Theoretical density (Mg/m³): 5.09
Space group: No. 15
Uncorrected formation energy (eV/f.u.): -3.574